First-principles (GGA-PBE) data for a relaxed ZnNiPt2 crystal, as listed in the Alexandria database.

energy of formation from the pure elements	-0.337	eV per atom
SG	Cmmm, No. 65
density	15.2	g/cm³
N(E_F)	0.8490	states/eV/atom
crystal system	orthorhombic

a b c (Å): 6.268 4.537 2.799
angles (deg): 89.96 63.54 123.60
Site moments in Bohr magnetons follow the coordinates.
Element x y z (fractional)
Ni  0.500  0.500  0.000  0.61
Zn  0.000  0.500  0.500  0.00
Pt  0.000  0.000  0.000  0.12
Pt  0.500  0.000  0.500  0.12